<a>
First-principles (meta-GGA SCAN) data for Zn2InTe at its PBEsol-relaxed geometry, as listed in the Alexandria database.

Computed properties:
Total magnetization ... 0.00 μB/f.u.

Cell lengths 3.9320, 3.9320, 20.0971 Å; angles 90.00, 90.00, 120.00 degrees
Space group R-3m (No. 166, hexagonal axes)
One atom of each set of equivalent atoms:
Zn 0.0000 0.0000 0.2464 (multiplicity 6)
In 0.0000 0.0000 0.0000 (multiplicity 3)
Te 0.0000 0.0000 0.5000 (multiplicity 3)

---

<b>
First-principles (meta-GGA SCAN) data for Zn2InTe at its PBEsol-relaxed geometry, as listed in the Alexandria database.

Computed properties:
Total magnetization ... 0.00 μB/f.u.

Cell lengths 3.157, 3.592, 7.533 Å; angles 90.00, 90.00, 90.00 degrees
Space group Pmmm (No. 47)
One atom of each set of equivalent atoms:
Zn 0.000 0.000 0.247 (multiplicity 2)
In 0.500 0.500 0.000 (multiplicity 1)
Te 0.500 0.500 0.500 (multiplicity 1)

---

<c>
First-principles (meta-GGA SCAN) data for Zn2InTe at its PBEsol-relaxed geometry, as listed in the Alexandria database.

Computed properties:
Total magnetization ... 0.00 μB/f.u.

Cell lengths 6.235, 7.719, 3.863 Å; angles 90.00, 108.47, 90.00 degrees
Space group C2/m (No. 12)
One atom of each set of equivalent atoms:
Zn 0.250 0.250 0.000 (multiplicity 4)
In 0.000 0.000 0.500 (multiplicity 2)
Te 0.000 0.500 0.500 (multiplicity 2)

---

Most stable = <a>

---

<a>
First-principles (meta-GGA SCAN) data for Zr2InTe at its PBEsol-relaxed geometry, as listed in the Alexandria database.

Computed properties:
Total magnetization ... 0.01 μB/f.u.

Cell lengths 3.4624, 3.4624, 26.6317 Å; angles 90.00, 90.00, 120.00 degrees
Space group R-3m (No. 166, hexagonal axes)
One atom of each set of equivalent atoms:
Zr 0.0000 0.0000 0.2455 (multiplicity 6)
In 0.0000 0.0000 0.0000 (multiplicity 3)
Te 0.0000 0.0000 0.5000 (multiplicity 3)

---

<b>
First-principles (meta-GGA SCAN) data for Zr2InTe at its PBEsol-relaxed geometry, as listed in the Alexandria database.

Computed properties:
Total magnetization ... 0.00 μB/f.u.

Cell lengths 10.730, 3.430, 4.972 Å; angles 90.00, 102.97, 90.00 degrees
Space group Cm (No. 8)
One atom of each set of equivalent atoms:
Zr 0.000 0.000 0.000 (multiplicity 2)
Zr 0.220 0.000 0.596 (multiplicity 2)
In 0.479 0.000 0.493 (multiplicity 2)
Te 0.229 0.500 0.094 (multiplicity 2)

---

<c>
First-principles (meta-GGA SCAN) data for Zr2InTe at its PBEsol-relaxed geometry, as listed in the Alexandria database.

Computed properties:
Total magnetization ... 0.00 μB/f.u.

Cell lengths 4.232, 4.232, 9.757 Å; angles 90.00, 90.00, 90.00 degrees
Space group I-4m2 (No. 119)
One atom of each set of equivalent atoms:
Zr 0.000 0.000 0.000 (multiplicity 2)
Zr 0.000 0.500 0.250 (multiplicity 2)
In 0.000 0.000 0.500 (multiplicity 2)
Te 0.000 0.500 0.750 (multiplicity 2)

---

Most stable = <b>

---

<a>
First-principles (meta-GGA SCAN) data for Zr2InTe at its PBEsol-relaxed geometry, as listed in the Alexandria database.

Computed properties:
Total magnetization ... 0.00 μB/f.u.

Cell lengths 9.650, 3.476, 5.465 Å; angles 90.00, 101.58, 90.00 degrees
Space group C2/m (No. 12)
One atom of each set of equivalent atoms:
Zr 0.247 0.000 0.244 (multiplicity 4)
In 0.000 0.000 0.500 (multiplicity 2)
Te 0.000 0.500 0.000 (multiplicity 2)

---

<b>
First-principles (meta-GGA SCAN) data for Zr2InTe at its PBEsol-relaxed geometry, as listed in the Alexandria database.

Computed properties:
Total magnetization ... 0.00 μB/f.u.

Cell lengths 3.613, 5.736, 4.565 Å; angles 90.00, 90.00, 90.00 degrees
Space group Pmm2 (No. 25)
One atom of each set of equivalent atoms:
Zr 0.000 0.000 0.000 (multiplicity 1)
Zr 0.500 0.500 0.499 (multiplicity 1)
In 0.000 0.500 0.999 (multiplicity 1)
Te 0.500 0.000 0.500 (multiplicity 1)

---

Most stable = <b>